Entry 1:
GdLuMgSc | PBE | relaxed

Cell: 7.5702 7.5702 7.5702 Å, 90.00 90.00 90.00°
Closest atoms and distances in Å follow each position.
Positions (direct):
1 Gd 0.0000 0.0000 0.0000  4 Mg 3.28, 4 Sc 3.28
2 Gd 0.0000 0.5000 0.5000  4 Mg 3.28, 4 Sc 3.28
3 Gd 0.5000 0.0000 0.5000  4 Mg 3.28, 4 Sc 3.28
4 Gd 0.5000 0.5000 0.0000  4 Mg 3.28, 4 Sc 3.28
5 Lu 0.0000 0.0000 0.5000  4 Mg 3.28, 4 Sc 3.28
6 Lu 0.0000 0.5000 0.0000  4 Mg 3.28, 4 Sc 3.28
7 Lu 0.5000 0.0000 0.0000  4 Mg 3.28, 4 Sc 3.28
8 Lu 0.5000 0.5000 0.5000  4 Mg 3.28, 4 Sc 3.28
9 Mg 0.2500 0.2500 0.2500  4 Gd 3.28, 4 Lu 3.28
10 Mg 0.2500 0.7500 0.7500  4 Gd 3.28, 4 Lu 3.28
11 Mg 0.7500 0.2500 0.7500  4 Gd 3.28, 4 Lu 3.28
12 Mg 0.7500 0.7500 0.2500  4 Gd 3.28, 4 Lu 3.28
13 Sc 0.2500 0.2500 0.7500  4 Gd 3.28, 4 Lu 3.28
14 Sc 0.2500 0.7500 0.2500  4 Gd 3.28, 4 Lu 3.28
15 Sc 0.7500 0.2500 0.2500  4 Gd 3.28, 4 Lu 3.28
16 Sc 0.7500 0.7500 0.7500  4 Gd 3.28, 4 Lu 3.28

Uncorrected energy in eV/atom: -6.596
Crystal system: cubic
Total moment in μB/cell: 28.72
Density of states at the Fermi level in states/eV/cell: 19.09
E_form in meV/atom: 36
Density in g/cm³: 6.15


Entry 2:
CsCd | PBE | relaxed

Cell: 13.8130 13.8130 4.6615 Å, 90.00 90.00 90.00°
Closest atoms and distances in Å follow each position.
Positions (direct):
1 Cs 0.1146 0.2021 0.0000  3 Cd 3.85-3.91
2 Cs 0.2021 0.8854 0.0000  3 Cd 3.85-3.91
3 Cs 0.2979 0.6146 0.5000  3 Cd 3.85-3.91
4 Cs 0.3854 0.2979 0.5000  3 Cd 3.85-3.91
5 Cs 0.6146 0.7021 0.5000  3 Cd 3.85-3.91
6 Cs 0.7021 0.3854 0.5000  3 Cd 3.85-3.91
7 Cs 0.7979 0.1146 0.0000  3 Cd 3.85-3.91
8 Cs 0.8854 0.7979 0.0000  3 Cd 3.85-3.91
9 Cd 0.0720 0.5906 0.0000  5 Cd 3.20-3.25
10 Cd 0.0906 0.4280 0.5000  5 Cd 3.20-3.25
11 Cd 0.4094 0.0720 0.0000  5 Cd 3.20-3.25
12 Cd 0.4280 0.9094 0.5000  5 Cd 3.20-3.25
13 Cd 0.5720 0.0906 0.5000  5 Cd 3.20-3.25
14 Cd 0.5906 0.9280 0.0000  5 Cd 3.20-3.25
15 Cd 0.9094 0.5720 0.5000  5 Cd 3.20-3.25
16 Cd 0.9280 0.4094 0.0000  5 Cd 3.20-3.25

Uncorrected energy in eV/atom: -0.847
Crystal system: tetragonal
Total moment in μB/cell: 0.00
Density of states at the Fermi level in states/eV/cell: 13.73
E_form in meV/atom: 38
Density in g/cm³: 3.66


Entry 3:
MgSb2Ir2 | PBE | relaxed

Cell: 7.2610 7.2610 3.6911 Å, 90.00 90.00 90.00°
Closest atoms and distances in Å follow each position.
Positions (direct):
1 Mg 0.0000 0.0000 0.0000  4 Ir 2.81
2 Mg 0.5000 0.5000 0.0000  4 Ir 2.81
3 Sb 0.1648 0.3352 0.5000  6 Ir 2.74-2.88
4 Sb 0.3352 0.8352 0.5000  6 Ir 2.74-2.88
5 Sb 0.6648 0.1648 0.5000  6 Ir 2.74-2.88
6 Sb 0.8352 0.6648 0.5000  6 Ir 2.74-2.88
7 Ir 0.1376 0.6376 0.0000  6 Sb 2.74-2.88, 2 Mg 2.81, 1 Ir 2.83
8 Ir 0.3624 0.1376 0.0000  6 Sb 2.74-2.88, 2 Mg 2.81, 1 Ir 2.83
9 Ir 0.6376 0.8624 0.0000  6 Sb 2.74-2.88, 2 Mg 2.81, 1 Ir 2.83
10 Ir 0.8624 0.3624 0.0000  6 Sb 2.74-2.88, 2 Mg 2.81, 1 Ir 2.83

Uncorrected energy in eV/atom: -5.545
Crystal system: tetragonal
Formation energy from raw total energies in eV per atom: -0.03
Total moment in μB/cell: 0.00
Density of states at the Fermi level in states/eV/cell: 7.08
Density in g/cm³: 11.13


Entry 4:
Li4Mg3In8 | PBE | relaxed

Cell: 8.3077 8.3077 6.1744 Å, 110.52 110.52 91.75°
Closest atoms and distances in Å follow each position.
Positions (direct):
1 Li 0.0000 0.0000 0.0000  6 In 2.85-2.94, 2 Li 3.09
2 Li 0.0000 0.0000 0.5000  4 In 2.91-2.92, 2 Li 3.09
3 Li 0.0000 0.5000 0.0000  6 In 2.90-3.23, 2 Mg 3.09
4 Li 0.5000 0.0000 0.0000  6 In 2.90-3.23, 2 Mg 3.09
5 Mg 0.0000 0.5000 0.5000  6 In 2.98-3.15, 2 Li 3.09
6 Mg 0.5000 0.0000 0.5000  6 In 2.98-3.15, 2 Li 3.09
7 Mg 0.5000 0.5000 0.0000  6 In 2.94-3.12
8 In 0.2386 0.7614 0.0000  3 Li 2.85-2.90, 3 Mg 2.99-3.12
9 In 0.2433 0.2433 0.9892  4 Li 2.85-2.98, 1 Mg 2.94, 2 In 3.05-3.13
10 In 0.2495 0.2495 0.4887  2 Li 2.92-2.94, 3 Mg 2.98-3.02, 2 In 3.05-3.13
11 In 0.3537 0.6463 0.5000  2 Mg 3.15, 2 Li 3.23, 7 In 3.35-3.52
12 In 0.6463 0.3537 0.5000  2 Mg 3.15, 2 Li 3.23, 7 In 3.35-3.52
13 In 0.7505 0.7505 0.5113  2 Li 2.92-2.94, 3 Mg 2.98-3.02, 2 In 3.05-3.13
14 In 0.7567 0.7567 0.0108  4 Li 2.85-2.98, 1 Mg 2.94, 2 In 3.05-3.13
15 In 0.7614 0.2386 0.0000  3 Li 2.85-2.90, 3 Mg 2.99-3.12

Uncorrected energy in eV/atom: -2.311
Crystal system: monoclinic
Total moment in μB/cell: 0.00
Density of states at the Fermi level in states/eV/cell: 6.36
E_form in meV/atom: -21
Density in g/cm³: 4.60


Entry 5:
ZrP2Br | PBE | relaxed

Cell: 3.6688 4.2811 9.3872 Å, 90.00 90.00 90.00°
Closest atoms and distances in Å follow each position.
Positions (direct):
1 Zr 0.0000 0.0000 0.0000  4 Br 2.82, 4 P 2.89
2 Zr 0.5000 0.5000 0.5000  4 Br 2.82, 4 P 2.89
3 P 0.0000 0.5000 0.2614  4 P 2.83, 2 Zr 2.89, 4 Br 3.06-3.10
4 P 0.0000 0.5000 0.7386  4 P 2.83, 2 Zr 2.89, 4 Br 3.06-3.10
5 P 0.5000 0.0000 0.2386  4 P 2.83, 2 Zr 2.89, 4 Br 3.06-3.10
6 P 0.5000 0.0000 0.7614  4 P 2.83, 2 Zr 2.89, 4 Br 3.06-3.10
7 Br 0.0000 0.0000 0.5000  4 Zr 2.82, 8 P 3.06-3.10
8 Br 0.5000 0.5000 0.0000  4 Zr 2.82, 8 P 3.06-3.10

Uncorrected energy in eV/atom: -5.292
Crystal system: orthorhombic
Formation energy from raw total energies in eV per atom: -0.03
Total moment in μB/cell: 0.00
Density of states at the Fermi level in states/eV/cell: 3.97
Density in g/cm³: 5.25


Entry 6:
Cu2AgSe | PBE | relaxed

Cell: 2.9765 2.9765 25.2072 Å, 90.00 90.00 120.00°
Closest atoms and distances in Å follow each position.
Positions (direct):
1 Cu 0.0000 0.0000 0.0000  3 Cu 2.52, 3 Ag 2.71
2 Cu 0.0000 0.0000 0.2601  3 Cu 2.52, 3 Se 2.56
3 Cu 0.3333 0.6667 0.6667  3 Cu 2.52, 3 Ag 2.71
4 Cu 0.3333 0.6667 0.9268  3 Cu 2.52, 3 Se 2.56
5 Cu 0.6667 0.3333 0.3333  3 Cu 2.52, 3 Ag 2.71
6 Cu 0.6667 0.3333 0.5935  3 Cu 2.52, 3 Se 2.56
7 Ag 0.0000 0.0000 0.7498  3 Cu 2.71, 6 Ag 2.98
8 Ag 0.3333 0.6667 0.4165  3 Cu 2.71, 6 Ag 2.98
9 Ag 0.6667 0.3333 0.0831  3 Cu 2.71, 6 Ag 2.98
10 Se 0.0000 0.0000 0.5183  3 Cu 2.56
11 Se 0.3333 0.6667 0.1849  3 Cu 2.56
12 Se 0.6667 0.3333 0.8516  3 Cu 2.56

Uncorrected energy in eV/atom: -3.391
Crystal system: trigonal
Formation energy from raw total energies in eV per atom: 0.24
Total moment in μB/cell: 0.00
Density of states at the Fermi level in states/eV/cell: 7.51
Density in g/cm³: 8.09


Entry 7:
Zr2PRu | PBE | relaxed

Cell: 3.7561 3.7561 5.5179 Å, 90.00 90.00 90.00°
Closest atoms and distances in Å follow each position.
Positions (direct):
1 Zr 0.0000 0.0000 0.0000  4 Ru 2.67, 2 P 2.74-2.78
2 Zr 0.5000 0.5000 0.4131  1 Ru 2.56, 4 P 2.70
3 P 0.0000 0.0000 0.4969  6 Zr 2.70-2.78
4 Ru 0.5000 0.5000 0.9494  5 Zr 2.56-2.67

Uncorrected energy in eV/atom: -8.511
Crystal system: tetragonal
Total moment in μB/cell: 0.00
Density of states at the Fermi level in states/eV/cell: 3.59
E_form in meV/atom: -565
Density in g/cm³: 6.71


Entry 8:
Cs3Co2Cl8 | PBE | relaxed

Cell: 10.4779 10.4779 10.4779 Å, 41.20 41.20 41.20°
Closest atoms and distances in Å follow each position.
Positions (direct):
1 Cs 0.0000 0.0000 0.0000  6 Cl 3.65
2 Cs 0.2097 0.2097 0.2097  10 Cl 3.53-3.77
3 Cs 0.7903 0.7903 0.7903  10 Cl 3.53-3.77
4 Co 0.4093 0.4093 0.4093  4 Cl 2.20-2.22
5 Co 0.5907 0.5907 0.5907  4 Cl 2.20-2.22
6 Cl 0.2371 0.7280 0.7280  1 Co 2.22
7 Cl 0.2720 0.2720 0.7629  1 Co 2.22
8 Cl 0.2720 0.7629 0.2720  1 Co 2.22
9 Cl 0.3326 0.3326 0.3326  1 Co 2.20
10 Cl 0.6674 0.6674 0.6674  1 Co 2.20
11 Cl 0.7280 0.2371 0.7280  1 Co 2.22
12 Cl 0.7280 0.7280 0.2371  1 Co 2.22
13 Cl 0.7629 0.2720 0.2720  1 Co 2.22

Uncorrected energy in eV/atom: -3.723
Crystal system: trigonal
Formation energy from raw total energies in eV per atom: -1.30
Total moment in μB/cell: 7.00
Density of states at the Fermi level in states/eV/cell: 13.89
Density in g/cm³: 2.95


Entry 9:
LaHfCo2Ni | PBE | relaxed

Cell: 4.5234 4.5234 4.7152 Å, 90.00 90.00 90.00°
Closest atoms and distances in Å follow each position.
Positions (direct):
1 La 0.0000 0.0000 0.0000  4 Co 2.26, 2 Ni 2.36
2 Hf 0.5000 0.5000 0.5000  4 Ni 3.20, 8 Co 3.27
3 Co 0.0000 0.5000 0.0000  2 La 2.26
4 Co 0.5000 0.0000 0.0000  2 La 2.26
5 Ni 0.0000 0.0000 0.5000  2 La 2.36

Uncorrected energy in eV/atom: -5.807
Crystal system: tetragonal
Total moment in μB/cell: 0.00
Density of states at the Fermi level in states/eV/cell: 7.99
E_form in meV/atom: 1167
Density in g/cm³: 8.50


Entry 10:
TmZr3Ir2 | PBE | relaxed

Cell: 4.5295 8.2558 6.8382 Å, 90.00 90.00 90.00°
Closest atoms and distances in Å follow each position.
Positions (direct):
1 Tm 0.0000 0.0727 0.0000  3 Ir 2.78-3.00
2 Tm 0.0000 0.9273 0.5000  3 Ir 2.78-3.00
3 Zr 0.0000 0.3344 0.6374  4 Ir 2.70-2.76
4 Zr 0.0000 0.6656 0.1374  4 Ir 2.70-2.76
5 Zr 0.5000 0.1725 0.3404  4 Ir 2.70-2.88
6 Zr 0.5000 0.4230 0.9791  3 Ir 2.71-2.97
7 Zr 0.5000 0.5770 0.4791  3 Ir 2.71-2.97
8 Zr 0.5000 0.8275 0.8404  4 Ir 2.70-2.88
9 Ir 0.0000 0.3431 0.2426  6 Zr 2.70-2.97, 1 Tm 2.78
10 Ir 0.0000 0.6569 0.7426  6 Zr 2.70-2.97, 1 Tm 2.78
11 Ir 0.5000 0.1649 0.7352  5 Zr 2.70-2.88, 2 Tm 3.00
12 Ir 0.5000 0.8351 0.2352  5 Zr 2.70-2.88, 2 Tm 3.00

Uncorrected energy in eV/atom: -8.688
Crystal system: orthorhombic
Total moment in μB/cell: 0.00
Density of states at the Fermi level in states/eV/cell: 11.17
E_form in meV/atom: -715
Density in g/cm³: 10.74


Entry 11:
Li3Ac2Cu12Pd | PBE | relaxed

Cell: 10.3218 10.3218 10.3218 Å, 33.85 33.85 33.85°
Closest atoms and distances in Å follow each position.
Positions (direct):
1 Li 0.0000 0.5000 0.5000  4 Cu 2.36
2 Li 0.5000 0.0000 0.5000  4 Cu 2.36
3 Li 0.5000 0.5000 0.0000  4 Cu 2.36
4 Ac 0.1436 0.1436 0.1436  12 Cu 3.15-3.46
5 Ac 0.8564 0.8564 0.8564  12 Cu 3.15-3.46
6 Cu 0.0863 0.0863 0.6879  2 Li 2.36, 4 Cu 2.39-2.45
7 Cu 0.0863 0.6879 0.0863  2 Li 2.36, 4 Cu 2.39-2.45
8 Cu 0.1429 0.5679 0.5679  4 Cu 2.45-2.55, 1 Pd 2.61, 1 Li 2.72
9 Cu 0.3121 0.9137 0.9137  2 Li 2.36, 4 Cu 2.39-2.45
10 Cu 0.4321 0.4321 0.8571  4 Cu 2.45-2.55, 1 Pd 2.61, 1 Li 2.72
11 Cu 0.4321 0.8571 0.4321  4 Cu 2.45-2.55, 1 Pd 2.61, 1 Li 2.72
12 Cu 0.5679 0.1429 0.5679  4 Cu 2.45-2.55, 1 Pd 2.61, 1 Li 2.72
13 Cu 0.5679 0.5679 0.1429  4 Cu 2.45-2.55, 1 Pd 2.61, 1 Li 2.72
14 Cu 0.6879 0.0863 0.0863  2 Li 2.36, 4 Cu 2.39-2.45
15 Cu 0.8571 0.4321 0.4321  4 Cu 2.45-2.55, 1 Pd 2.61, 1 Li 2.72
16 Cu 0.9137 0.3121 0.9137  2 Li 2.36, 4 Cu 2.39-2.45
17 Cu 0.9137 0.9137 0.3121  2 Li 2.36, 4 Cu 2.39-2.45
18 Pd 0.5000 0.5000 0.5000  6 Cu 2.61

Uncorrected energy in eV/atom: -3.711
Crystal system: trigonal
Total moment in μB/cell: 0.00
Density of states at the Fermi level in states/eV/cell: 6.94
E_form in meV/atom: 84
Density in g/cm³: 7.34


Entry 12:
Pr2As2Rh3 | PBE | relaxed

Cell: 10.6470 3.9635 7.1128 Å, 90.00 113.82 90.00°
Closest atoms and distances in Å follow each position.
Positions (direct):
1 Pr 0.1294 0.0000 0.2670  4 As 3.02-3.17, 7 Rh 3.10-3.38
2 Pr 0.3706 0.5000 0.7330  4 As 3.02-3.17, 7 Rh 3.10-3.38
3 Pr 0.6294 0.5000 0.2670  4 As 3.02-3.17, 7 Rh 3.10-3.38
4 Pr 0.8706 0.0000 0.7330  4 As 3.02-3.17, 7 Rh 3.10-3.38
5 As 0.1526 0.0000 0.7260  5 Rh 2.53-2.65
6 As 0.3474 0.5000 0.2740  5 Rh 2.53-2.65
7 As 0.6526 0.5000 0.7260  5 Rh 2.53-2.65
8 As 0.8474 0.0000 0.2740  5 Rh 2.53-2.65
9 Rh 0.0000 0.5000 0.5000  4 As 2.65, 2 Rh 2.82
10 Rh 0.1321 0.5000 0.9333  3 As 2.53-2.58, 1 Rh 2.82
11 Rh 0.3679 0.0000 0.0667  3 As 2.53-2.58, 1 Rh 2.82
12 Rh 0.5000 0.0000 0.5000  4 As 2.65, 2 Rh 2.82
13 Rh 0.6321 0.0000 0.9333  3 As 2.53-2.58, 1 Rh 2.82
14 Rh 0.8679 0.5000 0.0667  3 As 2.53-2.58, 1 Rh 2.82

Uncorrected energy in eV/atom: -6.694
Crystal system: monoclinic
Total moment in μB/cell: 0.00
Density of states at the Fermi level in states/eV/cell: 11.84
E_form in meV/atom: -850
Density in g/cm³: 8.95


Which value of total moment does entry 7 give? 0.00 μB/cell